[1]
First-principles (PBE) data for a relaxed Hg2PPt crystal, as listed in Alexandria via LeMat-Bulk.

Lattice parameters (Å, degrees): 2.995 4.943 5.166 90.00 90.00 90.00
Atoms (fractional coordinates):
P (0.500, 0.500, 0.000)
Pt (0.000, 0.500, 0.500)
Hg (0.000, 0.000, 0.000)
Hg (0.500, 0.000, 0.500)

- E_tot (eV/f.u.) = -10.4
- space group = No. 47
- formation energy from the elements (meV/atom) = 410


[2]
First-principles (PBE) data for a relaxed HgP2Pt crystal, as listed in Alexandria via LeMat-Bulk.

Lattice parameters (Å, degrees): 7.304 7.304 7.304 26.67 26.67 26.67
Atoms (fractional coordinates):
Pt (0.517, 0.517, 0.517)
Hg (0.748, 0.748, 0.748)
P (0.253, 0.253, 0.253)
P (0.982, 0.982, 0.982)

- E_tot (eV/f.u.) = -17.1
- space group = No. 160
- formation energy from the elements (meV/atom) = 26


[3]
First-principles (PBE) data for a relaxed HgP3Pt crystal, as listed in Alexandria via LeMat-Bulk.

Lattice parameters (Å, degrees): 4.765 4.765 4.765 90.00 90.00 90.00
Atoms (fractional coordinates):
P (0.000, 0.500, 0.000)
Pt (0.000, 0.000, 0.000)
P (0.500, 0.000, 0.000)
P (0.000, 0.000, 0.500)
Hg (0.500, 0.500, 0.500)

- excess energy over the best structure of this formula in the dataset (meV per atom) = 0
- E_tot (eV/f.u.) = -18.6
- space group = No. 221
- formation energy from the elements (meV/atom) = 795


[4]
First-principles (PBE) data for a relaxed HgP2Pt crystal, as listed in Alexandria via LeMat-Bulk.

Lattice parameters (Å, degrees): 3.782 3.877 5.015 90.05 90.00 90.00
Atoms (fractional coordinates):
Hg (0.000, 0.000, 0.500)
P (0.500, 0.500, 0.000)
P (0.000, 0.000, 0.000)
Pt (0.500, 0.500, 0.500)

- E_tot (eV/f.u.) = -15.9
- space group = No. 47
- formation energy from the elements (meV/atom) = 325


[5]
First-principles (PBE) data for a relaxed HgP2Pt crystal, as listed in Alexandria via LeMat-Bulk.

Lattice parameters (Å, degrees): 3.365 3.364 7.806 90.00 90.00 90.00
Atoms (fractional coordinates):
Pt (0.500, 0.500, 0.250)
P (0.000, 0.000, 0.387)
P (0.000, 0.000, 0.113)
Hg (0.500, 0.500, 0.750)

- E_tot (eV/f.u.) = -16.5
- space group = No. 123
- formation energy from the elements (meV/atom) = 161


[6]
First-principles (PBE) data for a relaxed Hg2PPt crystal, as listed in Alexandria via LeMat-Bulk.

Lattice parameters (Å, degrees): 8.370 8.370 8.370 24.15 24.15 24.15
Atoms (fractional coordinates):
Hg (0.990, 0.990, 0.990)
Hg (0.754, 0.754, 0.754)
P (0.521, 0.521, 0.521)
Pt (0.235, 0.235, 0.235)

- E_tot (eV/f.u.) = -12.4
- space group = No. 160
- formation energy from the elements (meV/atom) = -79


[7]
First-principles (PBE) data for a relaxed HgPPt crystal, as listed in Alexandria via LeMat-Bulk.

Lattice parameters (Å, degrees): 6.774 6.774 6.774 153.00 153.00 38.56
Atoms (fractional coordinates):
Pt (0.215, 0.215, 0.000)
Hg (0.998, 0.998, 0.000)
P (0.787, 0.787, 0.000)

- excess energy over the best structure of this formula in the dataset (meV per atom) = 62
- E_tot (eV/f.u.) = -11.9
- space group = No. 107
- formation energy from the elements (meV/atom) = -50


[8]
First-principles (PBE) data for a relaxed HgPPt crystal, as listed in Alexandria via LeMat-Bulk.

Lattice parameters (Å, degrees): 3.433 3.433 5.821 90.00 90.00 120.00
Atoms (fractional coordinates):
Hg (0.000, 0.000, 0.007)
Pt (0.333, 0.667, 0.391)
P (0.667, 0.333, 0.602)

- excess energy over the best structure of this formula in the dataset (meV per atom) = 0
- E_tot (eV/f.u.) = -12.1
- space group = No. 156
- formation energy from the elements (meV/atom) = -112


[9]
First-principles (PBE) data for a relaxed HgP2Pt crystal, as listed in Alexandria via LeMat-Bulk.

Lattice parameters (Å, degrees): 4.525 4.525 3.528 90.00 90.00 106.39
Atoms (fractional coordinates):
Pt (0.500, 0.000, 0.500)
P (0.000, 0.000, 0.000)
Hg (0.000, 0.500, 0.500)
P (0.500, 0.500, 0.000)

- E_tot (eV/f.u.) = -15.2
- space group = No. 65
- formation energy from the elements (meV/atom) = 479


[10]
First-principles (PBE) data for a relaxed HgP4Pt crystal, as listed in Alexandria via LeMat-Bulk.

Lattice parameters (Å, degrees): 5.502 5.502 5.502 60.00 60.00 60.00
Atoms (fractional coordinates):
P (0.648, 0.057, 0.648)
Pt (0.250, 0.250, 0.250)
P (0.648, 0.648, 0.648)
P (0.648, 0.648, 0.057)
P (0.057, 0.648, 0.648)
Hg (0.000, 0.000, 0.000)

- E_tot (eV/f.u.) = -24.0
- space group = No. 216
- formation energy from the elements (meV/atom) = 656


[11]
First-principles (PBE) data for a relaxed HgP2Pt crystal, as listed in Alexandria via LeMat-Bulk.

Lattice parameters (Å, degrees): 5.833 5.833 6.712 64.25 64.25 90.00
Atoms (fractional coordinates):
Hg (0.750, 0.250, 0.500)
P (0.875, 0.827, 0.750)
Pt (0.500, 0.500, 0.000)
Hg (0.000, 0.000, 0.000)
P (0.577, 0.125, 0.250)
P (0.173, 0.625, 0.250)
Pt (0.250, 0.750, 0.500)
P (0.375, 0.423, 0.750)

- E_tot (eV/f.u.) = -17.0
- space group = No. 122
- formation energy from the elements (meV/atom) = 39


[12]
First-principles (PBE) data for a relaxed Hg3PPt crystal, as listed in Alexandria via LeMat-Bulk.

Lattice parameters (Å, degrees): 5.015 5.015 5.015 90.00 90.00 90.00
Atoms (fractional coordinates):
Hg (0.000, 0.000, 0.500)
Hg (0.000, 0.500, 0.000)
P (0.000, 0.000, 0.000)
Hg (0.500, 0.000, 0.000)
Pt (0.500, 0.500, 0.500)

- excess energy over the best structure of this formula in the dataset (meV per atom) = 136
- E_tot (eV/f.u.) = -8.7
- space group = No. 221
- formation energy from the elements (meV/atom) = 731